! Nd3P4Pd4 (PBE, optimized geometry); values from VASP
&SYSTEM
  ibrav = 0, nat = 11, ntyp = 3
/
ATOMIC_SPECIES
Pd 106.42 Pd.upf
P 30.97 P.upf
Nd 144.24 Nd.upf
CELL_PARAMETERS angstrom
-3.7152 1.8819 -0.5628
-2.5768 -3.4396 5.5080
5.1380 5.9573 1.6932
ATOMIC_POSITIONS angstrom
Pd -1.9664 1.6452 2.7915
Pd 0.8124 2.7544 3.8469
P -3.9587 -1.8637 4.2098
Nd 0.5137 1.3353 1.0742
Pd 1.8283 4.1104 1.6755
Pd -2.9822 0.2892 4.9629
Nd -1.6676 3.0642 5.5641
P -2.3333 0.3060 0.7354
P -0.4297 0.5124 4.5497
P -0.7242 3.8872 2.0887
Nd -1.2884 -1.7198 2.7540
! - Energy above the most stable polymorph in this dataset: 4.68 kJ/mol of atoms
! - DOS at the Fermi energy: 0.207 states/eV/atom
! - Total energy: -68.4 eV per cell
! - Formation energy from the elements: -1.0652 eV per atom

! PmNdP2Pd2 (PBE, optimized geometry); values from VASP
&SYSTEM
  ibrav = 0, nat = 6, ntyp = 4
/
ATOMIC_SPECIES
Pd 106.42 Pd.upf
Pm 145.00 Pm.upf
P 30.97 P.upf
Nd 144.24 Nd.upf
CELL_PARAMETERS angstrom
-3.4876 1.6458 1.7400
0.3880 -4.1940 -0.3988
3.3502 -0.3611 7.0564
ATOMIC_POSITIONS angstrom
Pd 1.6026 -2.5175 5.5933
Pm 1.6751 -0.1805 3.5282
P -0.0592 -2.3384 2.0932
P 0.3098 -0.5709 6.3044
Nd 0.0000 0.0000 0.0000
Pd -1.3519 -0.3918 2.8043
! - DOS at the Fermi energy: 0.340 states/eV/atom
! - Total energy: -38.2 eV per cell
! - Formation energy from the elements: -1.2414 eV per atom

! PmNdPPd (PBE, optimized geometry); values from VASP
&SYSTEM
  ibrav = 0, nat = 4, ntyp = 4
/
ATOMIC_SPECIES
Pm 145.00 Pm.upf
Nd 144.24 Nd.upf
P 30.97 P.upf
Pd 106.42 Pd.upf
CELL_PARAMETERS angstrom
-0.8371 3.1105 -3.9176
-4.2608 2.7445 -0.1936
0.1874 5.0244 0.6662
ATOMIC_POSITIONS angstrom
Pm -3.6828 8.1596 -2.5838
Nd -1.2276 2.7199 -0.8613
P -2.4552 5.4397 -1.7225
Pd 0.0000 0.0000 0.0000
! - DOS at the Fermi energy: 0.903 states/eV/atom
! - Total energy: -23.5 eV per cell
! - Formation energy from the elements: -0.8460 eV per atom

! PrNdP2Pd2 (PBE, optimized geometry); values from VASP
&SYSTEM
  ibrav = 0, nat = 6, ntyp = 4
/
ATOMIC_SPECIES
Pd 106.42 Pd.upf
P 30.97 P.upf
Nd 144.24 Nd.upf
Pr 140.91 Pr.upf
CELL_PARAMETERS angstrom
4.2439 0.0000 0.0000
-2.1219 3.6753 0.0000
0.0000 0.0000 7.9043
ATOMIC_POSITIONS angstrom
Pd 2.1219 1.2251 1.9889
P 0.0000 2.4502 1.9954
P 2.1219 1.2251 5.9089
Nd 0.0000 0.0000 3.9521
Pd 0.0000 2.4502 5.9154
Pr 0.0000 0.0000 0.0000
! - DOS at the Fermi energy: 0.358 states/eV/atom
! - Total energy: -38.2 eV per cell
! - Formation energy from the elements: -1.2330 eV per atom

! Nd2PPd2Pt4 (PBE, optimized geometry); values from VASP
&SYSTEM
  ibrav = 0, nat = 9, ntyp = 4
/
ATOMIC_SPECIES
Nd 144.24 Nd.upf
Pt 195.08 Pt.upf
P 30.97 P.upf
Pd 106.42 Pd.upf
CELL_PARAMETERS angstrom
-1.6063 5.1709 2.9943
-3.3315 -1.8748 -4.8653
-0.7813 -5.4897 2.7454
ATOMIC_POSITIONS angstrom
Nd -3.4971 -0.1931 -1.4654
Pt -3.7717 -2.9851 -0.1540
P 0.0000 0.0000 0.0000
Pt -2.6536 -2.8358 -2.8421
Pd -1.1151 -1.9968 -0.5748
Pt -1.4592 -4.5287 0.7222
Pt -1.9474 0.7915 1.0285
Nd -2.2220 -2.0005 2.3399
Pd -2.9976 -5.3677 -1.5451
! - DOS at the Fermi energy: 0.377 states/eV/atom
! - Total energy: -57.5 eV per cell
! - Formation energy from the elements: -0.8855 eV per atom

! Nd2P3PdPt4 (PBE, optimized geometry); values from VASP
&SYSTEM
  ibrav = 0, nat = 10, ntyp = 4
/
ATOMIC_SPECIES
Pt 195.08 Pt.upf
P 30.97 P.upf
Nd 144.24 Nd.upf
Pd 106.42 Pd.upf
CELL_PARAMETERS angstrom
4.2376 0.0000 0.0000
0.0000 4.2376 0.0000
0.0000 0.0000 10.1680
ATOMIC_POSITIONS angstrom
Pt 0.0000 0.0000 0.0000
Pt 2.1188 0.0000 6.5954
P 2.1188 0.0000 8.8761
Nd 0.0000 2.1188 7.6247
Pt 2.1188 2.1188 0.0000
P 0.0000 2.1188 1.2918
Pd 2.1188 2.1188 5.0840
P 0.0000 0.0000 5.0840
Pt 0.0000 2.1188 3.5726
Nd 2.1188 0.0000 2.5433
! - DOS at the Fermi energy: 0.530 states/eV/atom
! - Total energy: -63.8 eV per cell
! - Formation energy from the elements: -0.8727 eV per atom

! Nd2PPd4Pt2 (PBE, optimized geometry); values from VASP
&SYSTEM
  ibrav = 0, nat = 9, ntyp = 4
/
ATOMIC_SPECIES
Nd 144.24 Nd.upf
Pt 195.08 Pt.upf
P 30.97 P.upf
Pd 106.42 Pd.upf
CELL_PARAMETERS angstrom
-4.5765 -4.1987 0.2865
2.9996 1.7792 5.1471
-1.2461 5.9747 -1.1854
ATOMIC_POSITIONS angstrom
Nd -2.4729 2.8265 0.5410
Nd -0.3501 0.7287 3.7072
Pt 1.2925 5.7154 2.9202
P 0.0000 0.0000 0.0000
Pd -0.0994 4.8415 0.5250
Pd -0.8245 3.7290 3.0234
Pd 1.8528 2.9124 3.4367
Pt 0.4610 2.0385 1.0415
Pd -1.9986 -0.1738 1.2248
! - DOS at the Fermi energy: 0.289 states/eV/atom
! - Total energy: -55.5 eV per cell
! - Formation energy from the elements: -0.8608 eV per atom

! NdPuP2Pd2 (PBE, optimized geometry); values from VASP
&SYSTEM
  ibrav = 0, nat = 6, ntyp = 4
/
ATOMIC_SPECIES
Nd 144.24 Nd.upf
Pu 244.00 Pu.upf
Pd 106.42 Pd.upf
P 30.97 P.upf
CELL_PARAMETERS angstrom
4.2126 0.0000 0.0000
-2.1063 3.6482 0.0000
0.0000 0.0000 7.7687
ATOMIC_POSITIONS angstrom
Nd 0.0000 0.0000 3.8844
Pu 0.0000 0.0000 0.0000
Pd 0.0000 2.4321 5.8458
P 2.1063 1.2161 5.8927
P 0.0000 2.4321 1.8760
Pd 2.1063 1.2161 1.9229
! - DOS at the Fermi energy: 1.891 states/eV/atom
! - Total energy: -46.7 eV per cell
! - Formation energy from the elements: -1.0695 eV per atom

! Nd2P3PdRh4 (PBE, optimized geometry); values from VASP
&SYSTEM
  ibrav = 0, nat = 10, ntyp = 4
/
ATOMIC_SPECIES
Nd 144.24 Nd.upf
P 30.97 P.upf
Rh 102.91 Rh.upf
Pd 106.42 Pd.upf
CELL_PARAMETERS angstrom
-3.1178 -0.1114 -2.6715
2.6724 0.0023 -3.1190
0.2139 -10.2005 0.1756
ATOMIC_POSITIONS angstrom
Nd -1.5035 -2.6985 -1.2903
Nd 1.4947 -7.5566 -1.4293
P 1.3638 -1.3149 -1.5368
P -1.3726 -8.9401 -1.1828
Rh 0.0000 0.0000 0.0000
Rh 1.4108 -3.5571 -1.4982
Pd -0.1157 -5.1548 -2.8074
Rh -1.4196 -6.6979 -1.2214
Rh -0.2227 -0.0545 -2.8952
P 0.1070 -5.1003 0.0878
! - DOS at the Fermi energy: 0.428 states/eV/atom
! - Total energy: -69.7 eV per cell
! - Formation energy from the elements: -0.9365 eV per atom

! Nd2P3PdRh12 (PBE, optimized geometry); values from VASP
&SYSTEM
  ibrav = 0, nat = 18, ntyp = 4
/
ATOMIC_SPECIES
Rh 102.91 Rh.upf
Nd 144.24 Nd.upf
P 30.97 P.upf
Pd 106.42 Pd.upf
CELL_PARAMETERS angstrom
6.8845 -0.9467 -0.6715
2.5768 6.4539 -0.6715
2.5768 1.4999 6.3130
ATOMIC_POSITIONS angstrom
Rh 6.5375 3.8053 -0.3691
Rh 3.0911 1.7993 3.8315
Nd 7.3187 4.2601 3.0216
P 1.2884 3.2269 -0.3357
P 3.4422 -0.4733 -0.3357
P 1.2884 0.7499 3.1565
Rh 8.0184 1.7717 1.2567
Pd 0.0000 0.0000 0.0000
Nd 4.7193 2.7470 1.9484
Rh 6.5375 0.9097 3.7134
Rh 5.5005 3.2018 5.3391
Rh 8.9468 5.2078 1.1386
Rh 5.1881 0.6083 0.4315
Rh 5.5005 6.0974 1.2567
Rh 3.0911 4.2109 0.4315
Rh 4.0196 5.2354 3.7134
Rh 8.9468 2.7962 4.5386
Rh 6.8499 6.3988 4.5386
! - DOS at the Fermi energy: 1.020 states/eV/atom
! - Total energy: -121.8 eV per cell
! - Formation energy from the elements: -0.1483 eV per atom

! NdSb2P2Pd7 (PBE, optimized geometry); values from VASP
&SYSTEM
  ibrav = 0, nat = 12, ntyp = 4
/
ATOMIC_SPECIES
Sb 121.76 Sb.upf
Nd 144.24 Nd.upf
Pd 106.42 Pd.upf
P 30.97 P.upf
CELL_PARAMETERS angstrom
-2.2446 -0.7040 3.8729
-0.6573 -4.0708 -1.8787
9.2448 -4.3248 5.0830
ATOMIC_POSITIONS angstrom
Sb 1.0814 -5.7465 3.6623
Nd 0.0000 0.0000 0.0000
Pd 2.6843 -3.3841 2.7218
P 0.8001 -2.3326 1.5862
Pd 3.6585 -5.7155 4.3554
Pd 0.5599 -4.6784 1.2132
Pd -0.0936 -3.2922 3.5813
Pd 5.7830 -4.4212 5.8640
Sb 5.2615 -3.3531 3.4149
Pd -1.4509 -2.3874 0.9971
Pd 6.4365 -5.8074 3.4959
P 5.5428 -6.7670 5.4910
! - DOS at the Fermi energy: 0.531 states/eV/atom
! - Energy relative to the elements, uncorrected: -0.523 eV per atom
! - Total energy: -66.5 eV per cell

Number 1: spin magnetization 0.0 μB/f.u.. Number 2: spin magnetization 0.0 μB/f.u.. Number 3: spin magnetization 0.9 μB/f.u.. Number 4: spin magnetization 0.0 μB/f.u.. Number 5: spin magnetization 0.0 μB/f.u.. Number 6: spin magnetization 0.0 μB/f.u.. Number 7: spin magnetization 0.0 μB/f.u.. Number 8: spin magnetization 5.2 μB/f.u.. Number 9: spin magnetization 0.0 μB/f.u.. Number 10: spin magnetization 0.0 μB/f.u.. Number 11: spin magnetization 0.0 μB/f.u..